Record 1
The following is a DFT calculation (PBE) of LiPmTl2I6 after structural relaxation.

Values from the calculation:
* ΔE_f (raw): -1.059 eV per atom
* DFT total energy: -3.129 eV per atom
* crystal system: monoclinic

Cell lengths 8.0781, 8.5771, 14.0891 Å; angles 90.00, 124.04, 90.00 degrees
Fractional positions:
1 Li 0.0000 0.0000 0.0000
2 Li 0.0000 0.5000 0.5000
3 Pm 0.5000 0.0000 0.5000
4 Pm 0.5000 0.5000 0.0000
5 Tl 0.2077 0.0916 0.7415
6 Tl 0.2077 0.4084 0.2415
7 Tl 0.7923 0.5916 0.7585
8 Tl 0.7923 0.9084 0.2585
9 I 0.1339 0.1970 0.4471
10 I 0.1339 0.3030 0.9471
11 I 0.2556 0.6935 0.4459
12 I 0.2556 0.8065 0.9459
13 I 0.3571 0.0209 0.2448
14 I 0.3571 0.4791 0.7448
15 I 0.6429 0.5209 0.2552
16 I 0.6429 0.9791 0.7552
17 I 0.7444 0.1935 0.0541
18 I 0.7444 0.3065 0.5541
19 I 0.8661 0.6970 0.0529
20 I 0.8661 0.8030 0.5529

***

Record 2
The following is a DFT calculation (PBE) of SrBiRh2Pb2 after structural relaxation.

Values from the calculation:
* ΔH_f (0 K): -0.922 kcal/mol of atoms
* DFT total energy: -4.654 eV per atom
* crystal system: tetragonal

Cell lengths 5.1172, 5.1172, 6.5952 Å; angles 90.00, 90.00, 90.00 degrees
Fractional positions:
1 Sr 0.0000 0.0000 0.0000
2 Bi 0.0000 0.0000 0.5000
3 Rh 0.0000 0.5000 0.5000
4 Rh 0.5000 0.0000 0.5000
5 Pb 0.5000 0.5000 0.2562
6 Pb 0.5000 0.5000 0.7438

***

Record 3
The following is a DFT calculation (PBE) of AlPdO3 after structural relaxation.

Values from the calculation:
* ΔE_f (raw): -1.208 eV per atom
* DFT total energy: -5.970 eV per atom
* crystal system: trigonal

Cell lengths 5.0508, 5.0508, 6.1467 Å; angles 90.00, 90.00, 120.00 degrees
Fractional positions:
1 Al 0.3333 0.6667 0.0000
2 Al 0.6667 0.3333 0.0000
3 Pd 0.0000 0.0000 0.2836
4 Pd 0.0000 0.0000 0.7164
5 O 0.0000 0.3687 0.8320
6 O 0.0000 0.6313 0.1680
7 O 0.3687 0.0000 0.8320
8 O 0.3687 0.3687 0.1680
9 O 0.6313 0.0000 0.1680
10 O 0.6313 0.6313 0.8320

***

Record 4
The following is a DFT calculation (PBE) of HoZr11 after structural relaxation.

Values from the calculation:
* ΔH_f (0 K): 1.085 kcal/mol of atoms
* DFT total energy: -8.170 eV per atom
* crystal system: hexagonal

Cell lengths 10.2142, 10.2142, 3.1713 Å; angles 90.00, 90.00, 120.00 degrees
Fractional positions:
1 Ho 0.0000 0.0000 0.0000
2 Zr 0.0000 0.5000 0.0000
3 Zr 0.1745 0.3490 0.5000
4 Zr 0.1745 0.8255 0.5000
5 Zr 0.3333 0.6667 0.0000
6 Zr 0.3490 0.1745 0.5000
7 Zr 0.5000 0.0000 0.0000
8 Zr 0.5000 0.5000 0.0000
9 Zr 0.6510 0.8255 0.5000
10 Zr 0.6667 0.3333 0.0000
11 Zr 0.8255 0.1745 0.5000
12 Zr 0.8255 0.6510 0.5000